The following is a DFT calculation (GGA-PBE) of BaLi2W after structural relaxation. Values from VASP.

Computed properties:
Energy relative to the elements, eV/atom: 0.97
Spin magnetization, μB/f.u.: 0.6
Crystal system: monoclinic
Mass density, g/cm3: 6.02
E above lowest polymorph, kcal/mol of atoms: 3.55

```
&SYSTEM
  ibrav = 0, nat = 4, ntyp = 3
/
ATOMIC_SPECIES
Ba 137.33 Ba.upf
Li 6.94 Li.upf
W 183.84 W.upf
CELL_PARAMETERS angstrom
5.170 -0.020 0.019
4.350 2.794 0.019
0.581 0.169 6.362
ATOMIC_POSITIONS crystal
Ba 0.243 0.243 0.264
Li 0.009 0.009 0.940
Li 0.752 0.752 0.732
W 0.497 0.497 0.564
```